1.
DFT (PBE-GGA) results for crystalline Na2Bi3Pb at its relaxed geometry.

a = 6.879 Å, b = 10.686 Å, c = 7.423 Å
α = 136.04°, β = 90.00°, γ = 90.00°
Fractional positions:
1 Na 0.750 0.436 0.334
2 Na 0.250 0.564 0.666
3 Na 0.250 0.898 0.334
4 Na 0.750 0.102 0.666
5 Bi 0.000 0.169 0.338
6 Bi 0.500 0.831 0.662
7 Bi 0.000 0.500 0.000
8 Bi 0.500 0.500 0.000
9 Bi 0.000 0.831 0.662
10 Bi 0.500 0.169 0.338
11 Pb 0.250 0.222 0.000
12 Pb 0.750 0.778 0.000

Values from the calculation:
- DFT total energy (eV/atom) = -3.168
- calculated volume (Å³ per cell) = 378.7
- space-group type = No. 63
- magnetic moment (Bohr magnetons per cell) = 0.00
- E above lowest polymorph (meV/atom) = 0


2.
DFT (PBE-GGA) results for crystalline NaBi6Pb5 at its relaxed geometry.

a = 4.976 Å, b = 9.382 Å, c = 9.382 Å
α = 105.85°, β = 105.17°, γ = 105.17°
Fractional positions:
1 Pb 0.500 0.166 0.834
2 Pb 0.000 0.327 0.673
3 Pb 0.500 0.500 0.500
4 Pb 0.000 0.673 0.327
5 Pb 0.500 0.834 0.166
6 Na 0.000 0.000 0.000
7 Bi 0.249 0.087 0.414
8 Bi 0.751 0.586 0.913
9 Bi 0.747 0.248 0.248
10 Bi 0.253 0.752 0.752
11 Bi 0.249 0.414 0.087
12 Bi 0.751 0.913 0.586

Values from the calculation:
- DFT total energy (eV/atom) = -3.612
- calculated volume (Å³ per cell) = 379.6
- space-group type = No. 12
- magnetic moment (Bohr magnetons per cell) = 0.00


> What is the DFT total energy in the second record?

-3.612 eV/atom